# TcPW

A geometry-optimized TcPW structure (GGA-PBEsol, Alexandria).

E_tot, eV/atom: -10.57
Mass density, g cm⁻³: 12.89
Formation energy from the elements, eV per atom: -0.28
Space group: I4mm

The structure in extended XYZ format:
```
3
Lattice="-1.4440 1.4440 4.8300 1.4440 -1.4440 4.8300 1.4440 1.4440 -4.8300" Properties=species:S:1:pos:R:3 pbc="T T T"
Tc 0.0000 0.0000 0.0000
P 0.0000 0.0000 3.5223
W 0.0000 0.0000 6.7399
```